DFT (PBE with a Hubbard U) results for a relaxed structure of K2CuNiO4.

Calculated values
Size of the total moment   8.09 μB/cell
Electronic total energy   -4.5319 eV per atom

The structure in CIF format:
```
data_K2CuNiO4
_symmetry_space_group_name_H-M 'F d d d'
_symmetry_Int_Tables_number 70
_cell_length_a 5.4109
_cell_length_b 13.1994
_cell_length_c 18.2112
_cell_angle_alpha 90.00
_cell_angle_beta 90.00
_cell_angle_gamma 90.00
loop_
_symmetry_equiv_pos_as_xyz
'x,y,z'
'-x,-y,-z'
'-x+1/4,-y+1/4,z'
'x+1/4,y+1/4,-z'
'x,-y+1/4,-z+1/4'
'-x,y+1/4,z+1/4'
'-x+1/4,y,-z+1/4'
'x+1/4,-y,z+1/4'
'x,y+1/2,z+1/2'
'-x,-y+1/2,-z+1/2'
'-x+1/4,-y+3/4,z+1/2'
'x+1/4,y+3/4,-z+1/2'
'x,-y+3/4,-z+3/4'
'-x,y+3/4,z+3/4'
'-x+1/4,y+1/2,-z+3/4'
'x+1/4,-y+1/2,z+3/4'
'x+1/2,y,z+1/2'
'-x+1/2,-y,-z+1/2'
'-x+3/4,-y+1/4,z+1/2'
'x+3/4,y+1/4,-z+1/2'
'x+1/2,-y+1/4,-z+3/4'
'-x+1/2,y+1/4,z+3/4'
'-x+3/4,y,-z+3/4'
'x+3/4,-y,z+3/4'
'x+1/2,y+1/2,z'
'-x+1/2,-y+1/2,-z'
'-x+3/4,-y+3/4,z'
'x+3/4,y+3/4,-z'
'x+1/2,-y+3/4,-z+1/4'
'-x+1/2,y+3/4,z+1/4'
'-x+3/4,y+1/2,-z+1/4'
'x+3/4,-y+1/2,z+1/4'
loop_
_atom_site_label
_atom_site_type_symbol
_atom_site_fract_x
_atom_site_fract_y
_atom_site_fract_z
K1 K 0.1250 0.1250 0.2954
Cu1 Cu 0.1250 0.1250 0.1250
Ni1 Ni 0.1250 0.1250 0.6250
O1 O 0.1239 0.2814 0.8721
```